A plane-wave DFT calculation with PBE-GGA was carried out for an optimized crystal structure of YMgAlNi.

a b c (Å): 8.9435 8.9435 5.2838
angles (deg): 90.00 90.00 148.40
Fractional coordinates of all 8 atoms:
Al1 0.5723 0.4277 0.6338
Al2 0.4277 0.5723 0.6338
Mg1 0.6118 0.3882 0.1339
Mg2 0.3882 0.6118 0.1339
Ni1 0.7048 0.2952 0.4879
Ni2 0.2952 0.7048 0.4879
Y1 0.8293 0.1707 0.7443
Y2 0.1707 0.8293 0.7443

- space-group type = Cmm2, No. 35
- E_tot (hartree per atom) = -0.148
- total magnetization (μB per cell) = 0.005